[1]
Entry from Alexandria: a relaxed structure of Ba4Np3CuO12 (PBE-GGA).

Lattice parameters (Å, degrees): 7.5435 7.5435 7.5435 109.47 109.47 109.47
Last column: magnetic moment on the atom in μB.
Positions (direct):
O  0.7345  0.7345  0.0000  -0.07
O  0.2655  0.2655  0.0000  -0.07
O  0.0000  0.2655  0.2655  -0.07
O  0.5000  0.7500  0.2500  -0.06
O  0.7500  0.2500  0.5000  -0.06
O  0.2655  0.0000  0.2655  -0.07
O  0.2500  0.5000  0.7500  -0.06
O  0.0000  0.7345  0.7345  -0.07
O  0.7500  0.5000  0.2500  -0.06
O  0.7345  0.0000  0.7345  -0.07
O  0.2500  0.7500  0.5000  -0.06
O  0.5000  0.2500  0.7500  -0.06
Np  0.5000  0.5000  0.0000  2.22
Np  0.0000  0.5000  0.5000  2.22
Np  0.5000  0.0000  0.5000  2.22
Ba  0.0000  0.0000  0.5000  0.01
Ba  0.0000  0.5000  0.0000  0.01
Ba  0.5000  0.0000  0.0000  0.01
Ba  0.5000  0.5000  0.5000  0.01
Cu  0.0000  0.0000  0.0000  -0.11

Results
Its space group is Im-3m (229).

[2]
Entry from Alexandria: a relaxed structure of BaNpCuO5 (PBE-GGA).

Lattice parameters (Å, degrees): 6.0925 6.0925 8.0617 102.68 102.68 108.57
Last column: magnetic moment on the atom in μB.
Positions (direct):
O  0.9342  0.0658  0.7500  -0.02
O  0.2741  0.8918  0.5887  -0.03
O  0.8918  0.2741  0.0887  -0.03
O  0.1082  0.7259  0.9113  -0.03
O  0.7614  0.6528  0.4124  -0.03
O  0.6528  0.7614  0.9124  -0.03
O  0.3472  0.2386  0.0876  -0.03
O  0.0658  0.9342  0.2500  -0.02
O  0.7259  0.1082  0.4113  -0.03
O  0.2386  0.3472  0.5876  -0.03
Ba  0.3319  0.6681  0.2500  0.00
Ba  0.6681  0.3319  0.7500  0.00
Np  0.0000  0.0000  0.0000  0.31
Np  0.0000  0.0000  0.5000  0.31
Cu  0.6867  0.3133  0.2500  -0.19
Cu  0.3133  0.6867  0.7500  -0.19

Results
Its space group is C2/c (15).

[3]
Entry from Alexandria: a relaxed structure of Ba2NpCuS5 (PBE-GGA).

Lattice parameters (Å, degrees): 4.1068 9.1984 12.8479 90.00 90.00 102.90
Last column: magnetic moment on the atom in μB.
Positions (direct):
S  0.7024  0.4049  0.1560  -0.09
S  0.5030  0.0060  0.7795  -0.04
S  0.4970  0.9940  0.2795  -0.04
S  0.6567  0.3135  0.5131  -0.08
S  0.6974  0.3948  0.8821  -0.10
S  0.9418  0.8835  0.5198  -0.15
S  0.0582  0.1165  0.0198  -0.15
S  0.3026  0.6052  0.3821  -0.10
S  0.2976  0.5951  0.6560  -0.09
S  0.3433  0.6865  0.0131  -0.08
Ba  0.8817  0.7633  0.8268  0.00
Ba  0.1183  0.2367  0.3268  0.00
Ba  0.8843  0.7686  0.1971  0.00
Ba  0.1157  0.2314  0.6971  0.00
Cu  0.5707  0.1413  0.9300  -0.15
Cu  0.4293  0.8587  0.4300  -0.15
Np  0.8007  0.6014  0.5196  2.76
Np  0.1993  0.3986  0.0196  2.76

Results
Its space group is Cmc2_1 (36).

[4]
Entry from Alexandria: a relaxed structure of Ba3Np2CuS9 (PBE-GGA).

Lattice parameters (Å, degrees): 7.0946 7.0946 8.7832 90.00 90.00 120.00
Last column: magnetic moment on the atom in μB.
Positions (direct):
Ba  0.0000  0.0000  0.0000  0.00
Ba  0.3333  0.6667  0.6562  0.00
Ba  0.6667  0.3333  0.3438  0.00
S  0.5000  0.0000  0.0000  -0.08
S  0.8371  0.1629  0.6633  -0.10
S  0.6742  0.8371  0.3367  -0.10
S  0.8371  0.6742  0.6633  -0.10
S  0.1629  0.8371  0.3367  -0.10
S  0.1629  0.3258  0.3367  -0.10
S  0.0000  0.5000  0.0000  -0.08
S  0.5000  0.5000  0.0000  -0.08
S  0.3258  0.1629  0.6633  -0.10
Np  0.3333  0.6667  0.1814  2.09
Np  0.6667  0.3333  0.8186  2.09
Cu  0.0000  0.0000  0.5000  -0.20

Results
Its space group is P-3m1 (164).

[5]
Entry from Alexandria: a relaxed structure of Ba2Np3CuS8 (PBE-GGA).

Lattice parameters (Å, degrees): 8.0461 8.0461 8.8787 63.06 63.06 60.00
Last column: magnetic moment on the atom in μB.
Positions (direct):
Np  0.4946  0.9919  0.0189  3.50
Np  0.9919  0.4946  0.0189  3.50
Np  0.4946  0.4946  0.0189  3.50
S  0.2453  0.6940  0.8154  -0.08
S  0.7628  0.2606  0.2138  -0.09
S  0.2453  0.2453  0.8154  -0.08
S  0.6940  0.2453  0.8154  -0.08
S  0.7628  0.7628  0.2138  -0.09
S  0.2606  0.7628  0.2138  -0.09
S  0.7214  0.7214  0.8357  -0.11
S  0.2640  0.2640  0.2079  -0.09
Cu  0.9301  0.9301  0.2098  -0.07
Ba  0.4972  0.4972  0.5084  0.00
Ba  0.1281  0.1281  0.6158  0.00

Results
Its space group is R3m (160).

[6]
Entry from Alexandria: a relaxed structure of BaNp2Cu2S6 (PBE-GGA).

Lattice parameters (Å, degrees): 7.1630 7.4880 7.5257 121.42 90.73 60.79
Last column: magnetic moment on the atom in μB.
Positions (direct):
S  0.9519  0.4537  0.1913  -0.10
S  0.8077  0.1500  0.4138  -0.10
S  0.1923  0.8500  0.5862  -0.10
S  0.0481  0.5463  0.8087  -0.10
S  0.5915  0.2154  0.9531  -0.10
S  0.4085  0.7846  0.0469  -0.10
Np  0.8281  0.3462  0.8294  3.33
Np  0.1719  0.6538  0.1706  3.33
Cu  0.7896  0.2592  0.1884  -0.08
Cu  0.2104  0.7408  0.8116  -0.08
Ba  0.5000  0.0000  0.5000  0.01

Results
Its space group is P-1 (2).

no.,spin magnetization (μB per atom),uncorrected formation energy (eV/atom)
1,0.300,-2.750
2,0.004,-2.314
3,0.221,-1.456
4,0.194,-1.383
5,0.714,-1.373
6,0.545,-1.118